[1]
Below is an optimized crystal structure of LaFeO2F, with properties calculated at the PBE with a Hubbard U level.

Lattice parameters (Å, degrees): 4.035 4.035 3.959 90.00 90.00 90.00
Atoms (fractional coordinates):
La: 0.000 0.000 0.000
Fe: 0.500 0.500 0.500
O: 0.000 0.500 0.500
O: 0.500 0.000 0.500
F: 0.500 0.500 0.000

Properties
The crystal system is tetragonal. The density of states at the Fermi level comes out at 2.52 states/eV per cell. As for the density: 6.3 g cm⁻³. For the total energy, the calculation gives -6.8176 eV per atom.

---

[2]
Below is an optimized crystal structure of LaFeSi2F, with properties calculated at the PBE with a Hubbard U level.

Lattice parameters (Å, degrees): 5.785 5.785 4.403 90.00 90.00 90.00
Atoms (fractional coordinates):
La: 0.000 0.000 0.000
Fe: 0.500 0.500 0.500
Si: 0.000 0.500 0.000
Si: 0.500 0.000 0.000
F: 0.000 0.000 0.500

Properties
The crystal system is tetragonal. The density of states at the Fermi level comes out at 3.50 states/eV per cell. As for the density: 3.0 g cm⁻³. For the total energy, the calculation gives -4.5184 eV per atom.

---

[3]
Below is an optimized crystal structure of LaTiFeF2, with properties calculated at the PBE with a Hubbard U level.

Lattice parameters (Å, degrees): 4.075 4.075 6.773 90.00 90.00 90.00
Atoms (fractional coordinates):
La: 0.000 0.000 0.000
Ti: 0.000 0.000 0.500
Fe: 0.500 0.500 0.000
F: 0.000 0.500 0.500
F: 0.500 0.000 0.500

Properties
The crystal system is tetragonal. The density of states at the Fermi level comes out at 2.79 states/eV per cell. As for the density: 4.1 g cm⁻³. For the total energy, the calculation gives -5.3981 eV per atom.